{
  "formula": "LaNdIn2I2",
  "functional": "PBE",
  "state": "optimized geometry",
  "dft_energy_ev_per_cell": -24.01,
  "cell": [[4.650, 0.000, 0.000], [-2.325, 4.027, 0.000], [0.000, 0.000, 12.091]],
  "species": ["La", "Nd", "In", "In", "I", "I"],
  "frac_coords": [[0.000, 0.000, 0.000], [0.000, 0.000, 0.631], [0.333, 0.667, 0.852], [0.667, 0.333, 0.776], [0.333, 0.667, 0.473], [0.667, 0.333, 0.161]]
}

=====

{
  "formula": "LaPrIn2I2",
  "functional": "PBE",
  "state": "optimized geometry",
  "dft_energy_ev_per_cell": -24.07,
  "cell": [[4.665, 0.000, 0.000], [-2.332, 4.040, 0.000], [0.000, 0.000, 12.113]],
  "species": ["La", "Pr", "In", "In", "I", "I"],
  "frac_coords": [[0.000, 0.000, 0.000], [0.000, 0.000, 0.630], [0.333, 0.667, 0.853], [0.667, 0.333, 0.777], [0.333, 0.667, 0.472], [0.667, 0.333, 0.159]]
}

=====

{
  "formula": "LiLuIn2I6",
  "functional": "PBE",
  "state": "optimized geometry",
  "dft_energy_ev_per_cell": -29.96,
  "cell": [[0.000, 5.855, 5.855], [5.855, 0.000, 5.855], [5.855, 5.855, 0.000]],
  "species": ["Li", "Lu", "In", "In", "I", "I", "I", "I", "I", "I"],
  "frac_coords": [[0.000, 0.000, 0.000], [0.500, 0.500, 0.500], [0.250, 0.250, 0.250], [0.750, 0.750, 0.750], [0.248, 0.248, 0.752], [0.248, 0.752, 0.248], [0.248, 0.752, 0.752], [0.752, 0.248, 0.248], [0.752, 0.248, 0.752], [0.752, 0.752, 0.248]]
}

=====

{
  "formula": "In2MoI6",
  "functional": "PBE",
  "state": "optimized geometry",
  "dft_energy_ev_per_cell": -56.77,
  "cell": [[7.686, 0.000, 0.000], [0.000, 8.322, 0.000], [-7.427, 0.000, 10.906]],
  "species": ["In", "In", "In", "In", "Mo", "Mo", "I", "I", "I", "I", "I", "I", "I", "I", "I", "I", "I", "I"],
  "frac_coords": [[0.213, 0.101, 0.240], [0.213, 0.399, 0.740], [0.787, 0.601, 0.260], [0.787, 0.899, 0.760], [0.500, 0.000, 0.000], [0.500, 0.500, 0.500], [0.151, 0.177, 0.946], [0.151, 0.323, 0.446], [0.274, 0.714, 0.948], [0.274, 0.786, 0.448], [0.369, 0.023, 0.757], [0.369, 0.477, 0.257], [0.631, 0.523, 0.743], [0.631, 0.977, 0.243], [0.726, 0.214, 0.552], [0.726, 0.286, 0.052], [0.849, 0.677, 0.554], [0.849, 0.823, 0.054]]
}

=====

Which formula does entry 1 have?
LaNdIn2I2